--- w ---
## TlPb2Au (SCAN)

Data for TlPb2Au at its PBEsol-relaxed geometry.

Summary:
Magnetic moment: 0.00 μB per formula unit
DOS at the Fermi energy: 1.76 states/eV/f.u.
ρ: 13130 kg/m3
SG: P4/mmm, No. 123

```
TlPb2Au
1.0
3.496 0.000 0.000
0.000 3.496 0.000
0.000 0.000 8.442
Pb Tl Au
2 1 1
Direct
0.000 0.000 0.290
0.000 0.000 0.710
0.500 0.500 0.000
0.500 0.500 0.500
```

--- x ---
## TlPb2Au (SCAN)

Data for TlPb2Au at its PBEsol-relaxed geometry.

Summary:
Magnetic moment: 0.00 μB per formula unit
DOS at the Fermi energy: 1.32 states/eV/f.u.
ρ: 13340 kg/m3
SG: Fm-3m, No. 225

```
TlPb2Au
1.0
5.237 0.000 0.000
2.618 4.535 0.000
2.618 1.512 4.276
Pb Tl Au
2 1 1
Direct
0.250 0.250 0.250
0.750 0.750 0.750
0.500 0.500 0.500
0.000 0.000 0.000
```

--- y ---
## TlPb2Au (SCAN)

Data for TlPb2Au at its PBEsol-relaxed geometry.

Summary:
Magnetic moment: 0.00 μB per formula unit
DOS at the Fermi energy: 1.63 states/eV/f.u.
ρ: 13222 kg/m3
SG: Cmm2, No. 35

```
TlPb2Au
1.0
3.461 -0.003 0.000
-0.130 3.458 0.000
0.000 0.000 8.560
Pb Au Tl
2 1 1
Direct
0.500 0.500 0.747
0.000 0.000 0.039
0.500 0.500 0.251
0.000 0.000 0.463
```

Stability ranking, top entry: w; the second entry is 35 meV/atom less favorable.

--- w ---
## TlPb2Au (SCAN)

Data for TlPb2Au at its PBEsol-relaxed geometry.

Summary:
Magnetic moment: 0.00 μB per formula unit
DOS at the Fermi energy: 1.76 states/eV/f.u.
ρ: 12845 kg/m3
SG: C2/m, No. 12

```
TlPb2Au
1.0
3.554 0.000 0.000
0.000 5.276 -0.039
-1.777 -2.583 5.644
Tl Pb Au
1 2 1
Direct
0.000 0.500 0.000
0.792 0.791 0.583
0.208 0.209 0.417
0.500 0.000 0.000
```

--- x ---
## TlPb2Au (SCAN)

Data for TlPb2Au at its PBEsol-relaxed geometry.

Summary:
Magnetic moment: 0.00 μB per formula unit
DOS at the Fermi energy: 1.43 states/eV/f.u.
ρ: 13117 kg/m3
SG: Imm2, No. 44

```
TlPb2Au
1.0
-3.291 -1.433 -0.304
1.413 -2.267 -4.611
2.598 -2.523 5.115
Tl Pb Au
1 2 1
Direct
0.533 0.533 0.065
0.751 0.251 0.501
0.967 0.967 0.933
0.250 0.750 0.501
```

--- y ---
## TlPb2Au (SCAN)

Data for TlPb2Au at its PBEsol-relaxed geometry.

Summary:
Magnetic moment: 0.00 μB per formula unit
DOS at the Fermi energy: 1.80 states/eV/f.u.
ρ: 12686 kg/m3
SG: R-3m, No. 166

```
TlPb2Au
1.0
3.632 0.000 0.000
1.816 3.145 0.000
1.816 1.048 9.347
Au Pb Tl
1 2 1
Direct
0.000 0.000 0.000
0.261 0.261 0.217
0.739 0.739 0.783
0.500 0.500 0.500
```

--- z ---
## TlPb2Au (SCAN)

Data for TlPb2Au at its PBEsol-relaxed geometry.

Summary:
Magnetic moment: 0.00 μB per formula unit
DOS at the Fermi energy: 1.61 states/eV/f.u.
ρ: 12888 kg/m3
SG: R3m, No. 160

```
TlPb2Au
1.0
-3.203 1.488 -0.195
-2.338 -1.144 -2.395
-5.237 -6.344 5.530
Pb Au Tl
2 1 1
Direct
0.988 0.988 0.035
0.751 0.751 0.748
0.249 0.249 0.252
0.511 0.511 0.466
```

Stability ranking, top entry: y; the second entry is 12 meV/atom less favorable.

--- w ---
## TlPbAu2 (SCAN)

Data for TlPbAu2 at its PBEsol-relaxed geometry.

Summary:
Magnetic moment: 0.00 μB per formula unit
DOS at the Fermi energy: 1.34 states/eV/f.u.
ρ: 14945 kg/m3
SG: Pmmm, No. 47

```
TlPbAu2
1.0
-0.752 -0.835 3.377
4.819 -1.168 0.785
0.922 4.728 1.374
Pb Tl Au
1 1 2
Direct
0.500 0.500 0.000
0.500 0.000 0.500
0.000 0.000 0.000
0.000 0.500 0.500
```

--- x ---
## TlPbAu2 (SCAN)

Data for TlPbAu2 at its PBEsol-relaxed geometry.

Summary:
Magnetic moment: 0.00 μB per formula unit
DOS at the Fermi energy: 1.31 states/eV/f.u.
ρ: 14657 kg/m3
SG: Pmm2, No. 25

```
TlPbAu2
1.0
3.311 0.000 0.000
0.000 3.423 0.000
0.000 0.000 8.052
Tl Pb Au
1 1 2
Direct
0.500 0.500 0.797
0.000 0.000 0.450
0.500 0.500 0.222
0.000 0.000 0.031
```

--- y ---
## TlPbAu2 (SCAN)

Data for TlPbAu2 at its PBEsol-relaxed geometry.

Summary:
Magnetic moment: 0.00 μB per formula unit
DOS at the Fermi energy: 1.22 states/eV/f.u.
ρ: 13504 kg/m3
SG: R3m, No. 160

```
TlPbAu2
1.0
-0.269 3.150 2.386
-3.437 0.853 1.773
0.670 -2.810 7.074
Au Pb Tl
2 1 1
Direct
0.008 0.008 0.976
0.742 0.742 0.773
0.485 0.485 0.545
0.265 0.265 0.206
```

--- z ---
## TlPbAu2 (SCAN)

Data for TlPbAu2 at its PBEsol-relaxed geometry.

Summary:
Magnetic moment: 0.00 μB per formula unit
DOS at the Fermi energy: 1.31 states/eV/f.u.
ρ: 14742 kg/m3
SG: Amm2, No. 38

```
TlPbAu2
1.0
-0.137 -1.832 3.286
0.463 -3.894 -2.152
5.424 1.310 -1.201
Pb Au Tl
1 2 1
Direct
0.478 0.000 0.956
0.206 0.000 0.413
0.042 0.500 0.084
0.770 0.500 0.541
```

Stability ranking, top entry: z; the second entry is 20 meV/atom less favorable.

--- w ---
## TlPbAu2 (SCAN)

Data for TlPbAu2 at its PBEsol-relaxed geometry.

Summary:
Magnetic moment: 0.00 μB per formula unit
DOS at the Fermi energy: 1.32 states/eV/f.u.
ρ: 14957 kg/m3
SG: Cmmm, No. 65

```
TlPbAu2
1.0
3.520 -0.041 0.000
-0.120 3.518 0.000
0.000 0.000 7.223
Au Pb Tl
2 1 1
Direct
0.000 0.000 0.747
0.000 0.000 0.253
0.500 0.500 0.000
0.500 0.500 0.500
```

--- x ---
## TlPbAu2 (SCAN)

Data for TlPbAu2 at its PBEsol-relaxed geometry.

Summary:
Magnetic moment: 0.00 μB per formula unit
DOS at the Fermi energy: 1.31 states/eV/f.u.
ρ: 13758 kg/m3
SG: R-3m, No. 166

```
TlPbAu2
1.0
-1.552 -3.608 0.966
0.903 -3.252 -2.228
5.201 -3.539 3.603
Tl Au Pb
1 2 1
Direct
0.000 0.000 0.000
0.749 0.749 0.753
0.251 0.251 0.247
0.500 0.500 0.500
```

--- y ---
## TlPbAu2 (SCAN)

Data for TlPbAu2 at its PBEsol-relaxed geometry.

Summary:
Magnetic moment: 0.00 μB per formula unit
DOS at the Fermi energy: 1.21 states/eV/f.u.
ρ: 14862 kg/m3
SG: Imm2, No. 44

```
TlPbAu2
1.0
-0.599 3.040 0.592
-5.269 -1.015 -0.114
3.013 -2.013 4.982
Pb Tl Au
1 1 2
Direct
0.476 0.476 0.951
0.269 0.769 0.538
0.020 0.020 0.040
0.736 0.236 0.472
```

Stability ranking, top entry: x; the second entry is 66 meV/atom less favorable.

--- w ---
## TlPbAu2 (SCAN)

Data for TlPbAu2 at its PBEsol-relaxed geometry.

Summary:
Magnetic moment: 0.00 μB per formula unit
DOS at the Fermi energy: 1.14 states/eV/f.u.
ρ: 14969 kg/m3
SG: I4/mmm, No. 139

```
TlPbAu2
1.0
4.909 0.000 0.000
-2.455 4.446 0.067
0.000 -2.772 4.052
Au Pb Tl
2 1 1
Direct
0.250 0.500 0.750
0.750 0.500 0.250
0.000 0.000 0.000
0.500 0.000 0.500
```

--- x ---
## TlPbAu2 (SCAN)

Data for TlPbAu2 at its PBEsol-relaxed geometry.

Summary:
Magnetic moment: 0.00 μB per formula unit
DOS at the Fermi energy: 1.32 states/eV/f.u.
ρ: 15000 kg/m3
SG: Cm, No. 8

```
TlPbAu2
1.0
-1.642 2.724 0.922
-3.447 -3.038 -3.110
-0.285 -1.869 5.013
Au Tl Pb
2 1 1
Direct
0.731 0.462 0.273
0.022 0.045 0.979
0.269 0.539 0.801
0.477 0.955 0.447
```

Stability ranking, top entry: x; the second entry is 25 meV/atom less favorable.

--- w ---
## Pb2WAu (SCAN)

Data for Pb2WAu at its PBEsol-relaxed geometry.

Summary:
Magnetic moment: 0.00 μB per formula unit
DOS at the Fermi energy: 2.18 states/eV/f.u.
ρ: 15265 kg/m3
SG: R-3m, No. 166

```
Pb2WAu
1.0
-2.610 -1.557 0.251
0.030 -2.871 1.028
-2.032 2.111 10.480
Pb W Au
2 1 1
Direct
0.245 0.245 0.266
0.755 0.755 0.734
0.500 0.500 0.500
0.000 0.000 0.000
```

--- x ---
## Pb2WAu (SCAN)

Data for Pb2WAu at its PBEsol-relaxed geometry.

Summary:
Magnetic moment: 0.79 μB per formula unit
DOS at the Fermi energy: 1.41 states/eV/f.u.
ρ: 15970 kg/m3
SG: I4/mmm, No. 139

```
Pb2WAu
1.0
-1.282 -3.409 2.427
2.610 -2.636 -2.324
2.562 3.778 2.715
Pb W Au
2 1 1
Direct
0.250 0.750 0.500
0.750 0.250 0.500
0.500 0.500 0.000
0.000 0.000 0.000
```

Stability ranking, top entry: w; the second entry is 143 meV/atom less favorable.

--- w ---
## PmAu3 (SCAN)

Data for PmAu3 at its PBEsol-relaxed geometry.

Summary:
Magnetic moment: 0.00 μB per formula unit
DOS at the Fermi energy: 1.52 states/eV/f.u.
ρ: 15074 kg/m3
SG: P6_3/mmc, No. 194

```
PmAu3
1.0
-3.149 3.542 -0.611
-4.687 -3.947 1.277
2.727 3.221 4.622
Au Pm
6 2
Direct
0.750 0.844 0.687
0.250 0.156 0.844
0.750 0.313 0.156
0.250 0.687 0.844
0.250 0.156 0.313
0.750 0.844 0.156
0.750 0.333 0.667
0.250 0.667 0.333
```

--- x ---
## PmAu3 (SCAN)

Data for PmAu3 at its PBEsol-relaxed geometry.

Summary:
Magnetic moment: 0.00 μB per formula unit
DOS at the Fermi energy: 1.50 states/eV/f.u.
ρ: 15092 kg/m3
SG: Fm-3m, No. 225

```
PmAu3
1.0
4.856 0.000 0.000
2.428 4.205 0.000
2.428 1.402 3.965
Au Pm
3 1
Direct
0.250 0.250 0.250
0.750 0.750 0.750
0.500 0.500 0.500
0.000 0.000 0.000
```

Stability ranking, top entry: w; the second entry is 36 meV/atom less favorable.

--- w ---
## Pt5Au (SCAN)

Data for Pt5Au at its PBEsol-relaxed geometry.

Summary:
Magnetic moment: 0.00 μB per formula unit
DOS at the Fermi energy: 8.49 states/eV/f.u.
ρ: 21109 kg/m3
SG: Amm2, No. 38

```
Pt5Au
1.0
-0.288 -2.157 -1.658
-0.363 -2.827 3.740
-6.964 2.015 0.847
Pt Au
5 1
Direct
0.331 0.000 0.662
0.668 0.000 0.335
0.558 0.500 0.116
0.889 0.500 0.777
0.223 0.500 0.445
0.999 0.000 0.998
```

--- x ---
## Pt5Au (SCAN)

Data for Pt5Au at its PBEsol-relaxed geometry.

Summary:
Magnetic moment: 0.00 μB per formula unit
DOS at the Fermi energy: 5.43 states/eV/f.u.
ρ: 19902 kg/m3
SG: F-43m, No. 216

```
Pt5Au
1.0
-1.968 -2.575 -4.031
2.930 -3.388 -2.585
-0.955 -5.068 0.386
Pt Au
5 1
Direct
0.750 0.750 0.750
0.375 0.875 0.375
0.375 0.375 0.875
0.875 0.375 0.375
0.375 0.375 0.375
0.000 0.000 0.000
```

Stability ranking, top entry: w; the second entry is 206 meV/atom less favorable.